## Ba2YTl (PBE)

Data for crystalline Ba2YTl at its relaxed geometry.

Lattice parameters (Å, degrees): 5.424 5.424 10.608 90.00 90.00 90.00
Space group I-4m2 (No. 119)
Inequivalent atoms, fractional coordinates:
Ba 0.000 0.000 0.000 (multiplicity 2)
Ba 0.000 0.500 0.250 (multiplicity 2)
Y 0.000 0.000 0.500 (multiplicity 2)
Tl 0.000 0.500 0.750 (multiplicity 2)

Properties
**DFT total energy**: -0.1142 Ha/atom
**Spin magnetization**: 0.006 μB/cell
**Distance to the lowest polymorph of the same formula**: 178 meV/atom
**Calculated formation energy**: 61 meV/atom
**Density of states at the Fermi level**: 12.06 states/eV/cell

***

## K2BeFe (PBE)

Data for crystalline K2BeFe at its relaxed geometry.

Lattice parameters (Å, degrees): 7.493 7.493 7.493 90.00 90.00 90.00
Space group F-43m (No. 216)
Inequivalent atoms, fractional coordinates:
K 0.000 0.000 0.000 (multiplicity 4)
K 0.250 0.250 0.250 (multiplicity 4)
Be 0.000 0.000 0.500 (multiplicity 4)
Fe 0.250 0.250 0.750 (multiplicity 4)

Properties
**DFT total energy**: -0.0866 Ha/atom
**Spin magnetization**: 10.325 μB/cell
**Calculated formation energy**: 1240 meV/atom
**Density of states at the Fermi level**: 17.45 states/eV/cell

***

## Ta3FeH (PBE)

Data for crystalline Ta3FeH at its relaxed geometry.

Lattice parameters (Å, degrees): 4.098 4.098 4.098 90.00 90.00 90.00
Space group Pm-3m (No. 221)
Inequivalent atoms, fractional coordinates:
Ta 0.000 0.000 0.500 (multiplicity 3)
Fe 0.500 0.500 0.500 (multiplicity 1)
H 0.000 0.000 0.000 (multiplicity 1)

Properties
**DFT total energy**: -0.3414 Ha/atom
**Spin magnetization**: 0.003 μB/cell
**Distance to the lowest polymorph of the same formula**: 0 meV/atom
**Density of states at the Fermi level**: 5.06 states/eV/cell

***

## Ac4Cd2Co (PBE)

Data for crystalline Ac4Cd2Co at its relaxed geometry.

Lattice parameters (Å, degrees): 5.474 5.474 16.988 90.00 90.00 90.00
Space group I4/mmm (No. 139)
Inequivalent atoms, fractional coordinates:
Ac 0.000 0.000 0.175 (multiplicity 4)
Ac 0.000 0.500 0.000 (multiplicity 4)
Cd 0.000 0.000 0.369 (multiplicity 4)
Co 0.000 0.000 0.000 (multiplicity 2)

Properties
**DFT total energy**: -0.1366 Ha/atom
**Spin magnetization**: 0.000 μB/cell
**Distance to the lowest polymorph of the same formula**: 22 meV/atom
**Calculated formation energy**: -92 meV/atom
**Density of states at the Fermi level**: 19.22 states/eV/cell

***

## PbCBr2 (PBE)

Data for crystalline PbCBr2 at its relaxed geometry.

Lattice parameters (Å, degrees): 3.5837 3.5837 27.4361 90.00 90.00 120.00
Space group R-3m (No. 166, hexagonal axes)
Inequivalent atoms, fractional coordinates:
Pb 0.0000 0.0000 0.0000 (multiplicity 3)
C 0.0000 0.0000 0.5000 (multiplicity 3)
Br 0.0000 0.0000 0.1153 (multiplicity 6)

Properties
**DFT total energy**: -0.1060 Ha/atom
**Spin magnetization**: 0.000 μB/cell
**Energy relative to the elements, uncorrected**: 458 kJ/mol of formula units
**Distance to the lowest polymorph of the same formula**: 1 meV/atom
**Density of states at the Fermi level**: 4.48 states/eV/cell

***

## BaPrP2Pt4 (PBE)

Data for crystalline BaPrP2Pt4 at its relaxed geometry.

Lattice parameters (Å, degrees): 4.114 4.114 10.594 90.00 90.00 90.00
Space group P4/mmm (No. 123)
Inequivalent atoms, fractional coordinates:
Ba 0.000 0.000 0.000 (multiplicity 1)
Pr 0.000 0.000 0.500 (multiplicity 1)
P 0.500 0.500 0.177 (multiplicity 2)
Pt 0.000 0.500 0.286 (multiplicity 4)

Properties
**DFT total energy**: -0.2223 Ha/atom
**Spin magnetization**: 0.000 μB/cell
**Calculated formation energy**: -840 meV/atom
**Density of states at the Fermi level**: 5.25 states/eV/cell

***

## Er2AlGa (PBE)

Data for crystalline Er2AlGa at its relaxed geometry.

Lattice parameters (Å, degrees): 5.869 4.023 8.536 90.00 107.67 90.00
Space group P2_1/m (No. 11)
Inequivalent atoms, fractional coordinates:
Er 0.206 0.250 0.427 (multiplicity 2)
Er 0.286 0.750 0.067 (multiplicity 2)
Al 0.363 0.750 0.713 (multiplicity 2)
Ga 0.135 0.250 0.789 (multiplicity 2)

Properties
**DFT total energy**: -0.1647 Ha/atom
**Spin magnetization**: 0.000 μB/cell
**Calculated formation energy**: -508 meV/atom
**Density of states at the Fermi level**: 5.68 states/eV/cell

***

## CsZnTeN2 (PBE)

Data for crystalline CsZnTeN2 at its relaxed geometry.

Lattice parameters (Å, degrees): 4.418 4.418 7.911 90.00 90.00 90.00
Space group P4/mmm (No. 123)
Inequivalent atoms, fractional coordinates:
Cs 0.000 0.000 0.000 (multiplicity 1)
Zn 0.500 0.500 0.500 (multiplicity 1)
Te 0.000 0.000 0.500 (multiplicity 1)
N 0.000 0.500 0.000 (multiplicity 2)

Properties
**DFT total energy**: -0.0820 Ha/atom
**Spin magnetization**: 2.261 μB/cell
**Energy relative to the elements, uncorrected**: 1038 kJ/mol of formula units
**Distance to the lowest polymorph of the same formula**: 714 meV/atom
**Density of states at the Fermi level**: 3.23 states/eV/cell

***

## PrTmGa (PBE)

Data for crystalline PrTmGa at its relaxed geometry.

Lattice parameters (Å, degrees): 3.538 3.538 13.159 90.00 90.00 90.00
Space group I4mm (No. 107)
Inequivalent atoms, fractional coordinates:
Pr 0.000 0.000 0.000 (multiplicity 2)
Tm 0.000 0.000 0.289 (multiplicity 2)
Ga 0.000 0.000 0.656 (multiplicity 2)

Properties
**DFT total energy**: -0.1631 Ha/atom
**Spin magnetization**: 0.000 μB/cell
**Distance to the lowest polymorph of the same formula**: 60 meV/atom
**Calculated formation energy**: -344 meV/atom
**Density of states at the Fermi level**: 4.47 states/eV/cell

***

## ThZrIn (PBE)

Data for crystalline ThZrIn at its relaxed geometry.

Lattice parameters (Å, degrees): 4.246 14.507 8.315 90.00 90.00 90.00
Space group Imm2 (No. 44)
Inequivalent atoms, fractional coordinates:
Th 0.000 0.000 0.000 (multiplicity 2)
Th 0.000 0.337 0.167 (multiplicity 4)
Zr 0.000 0.154 0.351 (multiplicity 4)
Zr 0.000 0.500 0.838 (multiplicity 2)
In 0.000 0.000 0.606 (multiplicity 2)
In 0.000 0.332 0.581 (multiplicity 4)

Properties
**DFT total energy**: -0.2286 Ha/atom
**Spin magnetization**: 0.000 μB/cell
**Distance to the lowest polymorph of the same formula**: 235 meV/atom
**Calculated formation energy**: 15 meV/atom
**Density of states at the Fermi level**: 24.60 states/eV/cell

***

## YTh2Pd4 (PBE)

Data for crystalline YTh2Pd4 at its relaxed geometry.

Lattice parameters (Å, degrees): 5.329 5.339 7.438 97.45 106.41 115.13
Space group P-1 (No. 2)
Inequivalent atoms, fractional coordinates:
Y 0.000 0.000 0.000 (multiplicity 1)
Th 0.394 0.289 0.682 (multiplicity 2)
Pd 0.000 0.500 0.000 (multiplicity 1)
Pd 0.013 0.337 0.351 (multiplicity 2)
Pd 0.500 0.000 0.000 (multiplicity 1)

Properties
**DFT total energy**: -0.2389 Ha/atom
**Spin magnetization**: 0.000 μB/cell
**Calculated formation energy**: -491 meV/atom
**Density of states at the Fermi level**: 4.85 states/eV/cell

***

## Y3Mg2Pd4 (PBE)

Data for crystalline Y3Mg2Pd4 at its relaxed geometry.

Lattice parameters (Å, degrees): 9.982 4.304 9.062 90.00 93.69 90.00
Space group C2/m (No. 12)
Inequivalent atoms, fractional coordinates:
Y 0.000 0.000 0.000 (multiplicity 2)
Y 0.128 0.500 0.387 (multiplicity 4)
Mg 0.173 0.500 0.789 (multiplicity 4)
Pd 0.083 0.000 0.629 (multiplicity 4)
Pd 0.206 0.500 0.089 (multiplicity 4)

Properties
**DFT total energy**: -0.2044 Ha/atom
**Spin magnetization**: 0.000 μB/cell
**Calculated formation energy**: -746 meV/atom
**Density of states at the Fermi level**: 7.94 states/eV/cell

***

## LiIn6Hg10 (PBE)

Data for crystalline LiIn6Hg10 at its relaxed geometry.

Lattice parameters (Å, degrees): 8.8556 8.8556 6.5623 90.00 90.00 120.00
Space group P-31m (No. 162)
Inequivalent atoms, fractional coordinates:
Li 0.0000 0.0000 0.0000 (multiplicity 1)
In 0.0000 0.3952 0.2392 (multiplicity 6)
Hg 0.0000 0.2437 0.7208 (multiplicity 6)
Hg 0.3333 0.6667 0.0000 (multiplicity 2)
Hg 0.3333 0.6667 0.5000 (multiplicity 2)

Properties
**DFT total energy**: -0.0469 Ha/atom
**Spin magnetization**: 0.000 μB/cell
**Calculated formation energy**: -19 meV/atom
**Density of states at the Fermi level**: 5.35 states/eV/cell

***

## PmTmAu4 (PBE)

Data for crystalline PmTmAu4 at its relaxed geometry.

Lattice parameters (Å, degrees): 3.770 3.770 9.141 90.00 90.00 90.00
Space group P4/mmm (No. 123)
Inequivalent atoms, fractional coordinates:
Pm 0.000 0.000 0.000 (multiplicity 1)
Tm 0.500 0.500 0.500 (multiplicity 1)
Au 0.000 0.000 0.341 (multiplicity 2)
Au 0.500 0.500 0.173 (multiplicity 2)

Properties
**DFT total energy**: -0.1674 Ha/atom
**Spin magnetization**: 0.000 μB/cell
**Calculated formation energy**: -832 meV/atom
**Density of states at the Fermi level**: 1.41 states/eV/cell

***

## Pm3SmTl2 (PBE)

Data for crystalline Pm3SmTl2 at its relaxed geometry.

Lattice parameters (Å, degrees): 5.246 10.268 6.888 90.00 90.00 90.00
Space group Pmc2_1 (No. 26)
Inequivalent atoms, fractional coordinates:
Pm 0.000 0.041 0.000 (multiplicity 2)
Pm 0.000 0.317 0.363 (multiplicity 2)
Pm 0.500 0.184 0.728 (multiplicity 2)
Sm 0.500 0.458 0.090 (multiplicity 2)
Tl 0.000 0.363 0.837 (multiplicity 2)
Tl 0.500 0.137 0.255 (multiplicity 2)

Properties
**DFT total energy**: -0.1552 Ha/atom
**Spin magnetization**: 0.000 μB/cell
**Distance to the lowest polymorph of the same formula**: 0 meV/atom
**Calculated formation energy**: -274 meV/atom
**Density of states at the Fermi level**: 13.71 states/eV/cell

***

## Tm6In2N (PBE)

Data for crystalline Tm6In2N at its relaxed geometry.

Lattice parameters (Å, degrees): 3.473 14.765 8.992 90.00 90.00 90.00
Space group Amm2 (No. 38)
Inequivalent atoms, fractional coordinates:
Tm 0.000 0.000 0.000 (multiplicity 2)
Tm 0.000 0.106 0.630 (multiplicity 4)
Tm 0.500 0.000 0.337 (multiplicity 2)
Tm 0.500 0.202 0.957 (multiplicity 4)
In 0.000 0.171 0.248 (multiplicity 4)
N 0.500 0.000 0.584 (multiplicity 2)

Properties
**DFT total energy**: -0.1829 Ha/atom
**Spin magnetization**: 0.002 μB/cell
**Energy relative to the elements, uncorrected**: -402 kJ/mol of formula units
**Distance to the lowest polymorph of the same formula**: 175 meV/atom
**Density of states at the Fermi level**: 18.94 states/eV/cell

***

## Cs2InBi2 (PBE)

Data for crystalline Cs2InBi2 at its relaxed geometry.

Lattice parameters (Å, degrees): 15.272 5.365 13.008 90.00 120.80 90.00
Space group C2/m (No. 12)
Inequivalent atoms, fractional coordinates:
Cs 0.009 0.000 0.167 (multiplicity 4)
Cs 0.181 0.000 0.597 (multiplicity 4)
In 0.204 0.500 0.859 (multiplicity 4)
Bi 0.003 0.500 0.382 (multiplicity 4)
Bi 0.169 0.500 0.070 (multiplicity 4)

Properties
**DFT total energy**: -0.1011 Ha/atom
**Spin magnetization**: 0.000 μB/cell
**Distance to the lowest polymorph of the same formula**: 0 meV/atom
**Calculated formation energy**: -309 meV/atom
**Density of states at the Fermi level**: 7.48 states/eV/cell

***

## InTe2PtN (PBE)

Data for crystalline InTe2PtN at its relaxed geometry.

Lattice parameters (Å, degrees): 6.020 6.020 3.724 90.00 90.00 90.00
Space group P4/mmm (No. 123)
Inequivalent atoms, fractional coordinates:
In 0.000 0.000 0.000 (multiplicity 1)
Te 0.000 0.500 0.500 (multiplicity 2)
Pt 0.500 0.500 0.500 (multiplicity 1)
N 0.500 0.500 0.000 (multiplicity 1)

Properties
**DFT total energy**: -0.1590 Ha/atom
**Spin magnetization**: 0.000 μB/cell
**Energy relative to the elements, uncorrected**: 170 kJ/mol of formula units
**Distance to the lowest polymorph of the same formula**: 0 meV/atom
**Density of states at the Fermi level**: 4.77 states/eV/cell

***

## BaLaTl6 (PBE)

Data for crystalline BaLaTl6 at its relaxed geometry.

Lattice parameters (Å, degrees): 5.001 5.001 10.057 90.00 90.00 90.00
Space group P4/mmm (No. 123)
Inequivalent atoms, fractional coordinates:
Ba 0.000 0.000 0.000 (multiplicity 1)
La 0.000 0.000 0.500 (multiplicity 1)
Tl 0.000 0.500 0.260 (multiplicity 4)
Tl 0.500 0.500 0.000 (multiplicity 1)
Tl 0.500 0.500 0.500 (multiplicity 1)

Properties
**DFT total energy**: -0.1075 Ha/atom
**Spin magnetization**: 0.000 μB/cell
**Calculated formation energy**: -295 meV/atom
**Density of states at the Fermi level**: 4.95 states/eV/cell

***

## TiGa4Pd7 (PBE)

Data for crystalline TiGa4Pd7 at its relaxed geometry.

Lattice parameters (Å, degrees): 11.663 4.641 9.123 90.00 126.58 90.00
Space group C2/m (No. 12)
Inequivalent atoms, fractional coordinates:
Ti 0.000 0.000 0.000 (multiplicity 2)
Ga 0.080 0.500 0.783 (multiplicity 4)
Ga 0.214 0.500 0.339 (multiplicity 4)
Pd 0.000 0.500 0.000 (multiplicity 2)
Pd 0.070 0.000 0.328 (multiplicity 4)
Pd 0.151 0.500 0.575 (multiplicity 4)
Pd 0.218 0.000 0.876 (multiplicity 4)

Properties
**DFT total energy**: -0.1873 Ha/atom
**Spin magnetization**: 0.001 μB/cell
**Calculated formation energy**: -401 meV/atom
**Density of states at the Fermi level**: 9.85 states/eV/cell